# SrMoI2, relaxed, DFT PBEsol
data_SrMoI2
_chemical_formula_sum 'Sr4 Mo4 I8'
_cell_length_a 5.6644
_cell_length_b 5.6644
_cell_length_c 17.7669
_cell_angle_alpha 90.00
_cell_angle_beta 90.00
_cell_angle_gamma 90.00
_space_group_name_H-M_alt 'I -4 2 d'
_space_group_IT_number 122
_space_group_name_Hall 'I -4 2bw'
loop_
_atom_site_label
_atom_site_type_symbol
_atom_site_fract_x
_atom_site_fract_y
_atom_site_fract_z
Sr1 Sr 0.0000 0.0000 0.0000
Mo1 Mo 0.0000 0.0000 0.5000
I1 I 0.1959 0.2500 0.6250
# Density of states at the Fermi level ... 7.92 states/eV/cell
# Formation energy (no corrections) ... 1.0 eV per formula unit
# Size of the total moment ... 1.004 μB per atom